Record 1
DFT (GGA-PBE) results for a geometry-optimized ZrCuNO2 structure.

Its crystal system is tetragonal. The formation energy (no corrections) is -578 meV per atom. The value obtained for the total energy is -6.75 eV/atom.

The space group is P4/mmm (No. 123) and the conventional cell measures 4.119, 4.119 and 4.280 Å, with angles of 90.00, 90.00 and 90.00 degrees. The distinct sites, in fractional coordinates, are Zr at (0.000, 0.000, 0.000), Cu at (0.500, 0.500, 0.500), N at (0.000, 0.000, 0.500) and O at (0.000, 0.500, 0.000).

=====

Record 2
DFT (GGA-PBE) results for a geometry-optimized CeFeP structure.

Its crystal system is tetragonal. The value obtained for the total energy is -7.54 eV/atom. As for the formation energy: -0.93 eV per atom.

The space group is P4/nmm (No. 129, origin choice 2) and the conventional cell measures 3.872, 3.872 and 6.906 Å, with angles of 90.00, 90.00 and 90.00 degrees. The distinct sites, in fractional coordinates, are Ce at (0.250, 0.250, 0.176), Fe at (0.250, 0.750, 0.500) and P at (0.250, 0.250, 0.672).

=====

Record 3
DFT (GGA-PBE) results for a geometry-optimized TaCr2Os structure.

Its crystal system is monoclinic. The value obtained for the total energy is -10.51 eV/atom. As for the formation energy: 0.07 eV per atom. The polymorph energy (0 for the lowest one) is 111.6 meV per atom.

The space group is C2/m (No. 12) and the conventional cell measures 5.272, 8.416 and 2.702 Å, with angles of 90.00, 109.85 and 90.00 degrees. The distinct sites, in fractional coordinates, are Ta at (0.000, 0.000, 0.000), Cr at (0.250, 0.250, 0.500) and Os at (0.000, 0.500, 0.000).

=====

Record 4
DFT (GGA-PBE) results for a geometry-optimized BaFeRe2 structure.

Its crystal system is tetragonal. The value obtained for the total energy is -8.15 eV/atom. As for the formation energy: 0.67 eV per atom. The polymorph energy (0 for the lowest one) is 126.1 meV per atom.

The space group is P4mm (No. 99) and the conventional cell measures 3.215, 3.215 and 7.905 Å, with angles of 90.00, 90.00 and 90.00 degrees. The distinct sites, in fractional coordinates, are Ba at (0.000, 0.000, 0.000), Fe at (0.500, 0.500, 0.334), Re at (0.000, 0.000, 0.501) and Re at (0.500, 0.500, 0.664).

=====

- Number 1 is which compound?
  ZrCuNO2